No. 1
The following is a PBE calculation of a relaxed structure of HfNiSn2Sb, from Alexandria via LeMat-Bulk.

Summary:
spin magnetization: 0.00 μB per formula unit
formation energy from raw total energies: 0.9561 eV per atom
mass density: 7.0 g/cm3
total DFT energy (no corrections): -4.62 eV/atom

Unit cell a=5.615 b=4.499 c=5.615 alpha=90.00 beta=90.00 gamma=90.00
Fractional coordinates of all 5 atoms:
Sn 0.000 0.000 0.500
Hf 0.500 0.500 0.500
Sn 0.500 0.000 0.000
Ni 0.000 0.500 0.000
Sb 0.000 0.000 0.000



No. 2
The following is a PBE calculation of a relaxed structure of NaNd3Sm4S8, from Alexandria via LeMat-Bulk.

Summary:
spin magnetization: 0.00 μB per formula unit
formation energy from raw total energies: -1.9672 eV per atom
mass density: 5.9 g/cm3
total DFT energy (no corrections): -6.19 eV/atom

Unit cell a=8.073 b=8.076 c=8.073 alpha=119.99 beta=120.00 gamma=90.00
Fractional coordinates of all 16 atoms:
S 0.752 0.755 0.504
S 0.248 0.245 0.496
Sm 0.500 0.000 0.000
Sm 0.000 0.000 0.000
Sm 0.500 0.000 0.500
S 0.750 0.247 0.500
S 0.750 0.247 0.996
Na 0.000 0.500 0.000
Nd 0.500 0.500 0.500
S 0.250 0.753 0.004
Sm 0.000 0.000 0.500
Nd 0.000 0.500 0.500
S 0.246 0.247 0.996
S 0.754 0.753 0.004
Nd 0.500 0.500 0.000
S 0.250 0.753 0.500